Entry 1:
Entry from Alexandria via LeMat-Bulk: a relaxed NaLa2B2 crystal (PBE).

```
data_NaLa2B2
_chemical_formula_sum 'Na2 La4 B4'
_space_group_name_H-M_alt 'P 4/m b m'
_space_group_IT_number 127
_space_group_name_Hall '-P 4 2ab'
_cell_length_a 8.179
_cell_length_b 8.179
_cell_length_c 3.143
_cell_angle_alpha 90.00
_cell_angle_beta 90.00
_cell_angle_gamma 90.00
loop_
_atom_site_label
_atom_site_type_symbol
_atom_site_fract_x
_atom_site_fract_y
_atom_site_fract_z
Na1 Na 0.000 0.000 0.000
La1 La 0.135 0.365 0.000
B1 B 0.160 0.660 0.500
```

Summary:
Relative energy among the computed polymorphs = 0 kJ/mol of formula units

Entry 2:
Entry from Alexandria via LeMat-Bulk: a relaxed NaLaB12 crystal (PBE).

```
data_NaLaB12
_chemical_formula_sum 'Na4 La4 B48'
_space_group_name_H-M_alt 'F m -3 m'
_space_group_IT_number 225
_space_group_name_Hall '-F 4 2 3'
_cell_length_a 8.328
_cell_length_b 8.328
_cell_length_c 8.328
_cell_angle_alpha 90.00
_cell_angle_beta 90.00
_cell_angle_gamma 90.00
loop_
_atom_site_label
_atom_site_type_symbol
_atom_site_fract_x
_atom_site_fract_y
_atom_site_fract_z
Na1 Na 0.000 0.000 0.000
La1 La 0.000 0.000 0.500
B1 B 0.101 0.250 0.250
```

Entry 3:
Entry from Alexandria via LeMat-Bulk: a relaxed NaLaB3 crystal (PBE).

```
data_NaLaB3
_chemical_formula_sum 'Na1 La1 B3'
_space_group_name_H-M_alt 'P m -3 m'
_space_group_IT_number 221
_space_group_name_Hall '-P 4 2 3'
_cell_length_a 4.404
_cell_length_b 4.404
_cell_length_c 4.404
_cell_angle_alpha 90.00
_cell_angle_beta 90.00
_cell_angle_gamma 90.00
loop_
_atom_site_label
_atom_site_type_symbol
_atom_site_fract_x
_atom_site_fract_y
_atom_site_fract_z
Na1 Na 0.000 0.000 0.000
La1 La 0.500 0.500 0.500
B1 B 0.000 0.000 0.500
```

Summary:
Relative energy among the computed polymorphs = 0 kJ/mol of formula units

Entry 4:
Entry from Alexandria via LeMat-Bulk: a relaxed NaLa3B crystal (PBE).

```
data_NaLa3B
_chemical_formula_sum 'Na1 La3 B1'
_space_group_name_H-M_alt 'P m -3 m'
_space_group_IT_number 221
_space_group_name_Hall '-P 4 2 3'
_cell_length_a 5.485
_cell_length_b 5.485
_cell_length_c 5.485
_cell_angle_alpha 90.00
_cell_angle_beta 90.00
_cell_angle_gamma 90.00
loop_
_atom_site_label
_atom_site_type_symbol
_atom_site_fract_x
_atom_site_fract_y
_atom_site_fract_z
Na1 Na 0.000 0.000 0.000
La1 La 0.000 0.500 0.500
B1 B 0.500 0.500 0.500
```

Summary:
Relative energy among the computed polymorphs = 0 kJ/mol of formula units

Number 1: energy relative to the elements 526 meV/atom. Number 2: energy relative to the elements -361 meV/atom. Number 3: energy relative to the elements 1691 meV/atom. Number 4: energy relative to the elements 182 meV/atom.